Entry 1:
# Pm2OsRu3

Crystalline Pm2OsRu3 at its relaxed geometry (PBE, the Alexandria database).

The structure in extended XYZ format:
```
12
Lattice="-2.6362 -1.7350 4.3466 1.4355 -3.4755 -3.8357 7.7691 -1.3824 4.1602" Properties=species:S:1:pos:R:3 pbc="T T T"
Pm 7.3409 -4.1877 2.7807
Pm 2.0991 -2.9163 3.4280
Pm -0.7726 -2.4053 1.8903
Pm 4.4692 -3.6767 1.2430
Os 3.8845 -0.6912 2.0801
Os 0.0000 0.0000 0.0000
Ru 5.1767 -2.2136 3.9431
Ru 1.9820 -1.8173 0.4767
Ru 2.6879 -3.5262 -1.4093
Ru 1.3916 -4.3794 0.7279
Ru 4.5863 -4.7757 4.1943
Ru 3.8805 -3.0667 6.0804
```

Properties
* M_tot: 0.00 μB/f.u.
* energy: -0.6074 Ry per atom
* formation enthalpy at 0 K: -172 meV/atom
* space-group type: P6_3/mmc


Entry 2:
# Pm6Os2Ru

Crystalline Pm6Os2Ru at its relaxed geometry (PBE, the Alexandria database).

The structure in extended XYZ format:
```
18
Lattice="-6.5690 1.5417 -1.0157 -1.2127 -6.8220 -2.5122 -2.4632 -2.9103 9.0922" Properties=species:S:1:pos:R:3 pbc="T T T"
Pm -2.9837 -2.1611 6.6726
Pm -4.3307 -6.4331 1.4024
Pm -4.6734 -5.2460 5.0539
Pm -8.6292 -5.8931 5.8916
Pm -1.6158 -2.2975 -0.3272
Pm -5.5715 -2.9446 0.5105
Pm -5.9143 -1.7574 4.1619
Pm -7.6283 -4.9797 2.7152
Pm -6.9390 -2.8051 7.2888
Pm -2.6167 -3.2109 2.8492
Pm -7.2613 -6.0294 -1.1082
Pm -3.3059 -5.3855 -1.7244
Ru -1.2316 -1.4551 4.5461
Ru -3.8909 -2.6401 -1.7639
Os -6.4838 -7.3056 4.4896
Os -8.5310 -2.9964 4.5875
Os -1.7140 -5.1941 0.9769
Os -3.7611 -0.8850 1.0748
```

Properties
* M_tot: 0.00 μB/f.u.
* energy: -0.4983 Ry per atom
* formation enthalpy at 0 K: -86 meV/atom
* space-group type: P2_1/c